(1)
VASP calculation (PBE) on a geometry-optimized BaGe3Rh structure.

Output
DOS at the Fermi energy = 3.43 states/eV/cell
Space-group type = No. 31

Structure (CIF):
```
data_BaGe3Rh
_cell_length_a 5.6505
_cell_length_b 6.7672
_cell_length_c 6.6622
_cell_angle_alpha 90.00
_cell_angle_beta 90.00
_cell_angle_gamma 89.99
_symmetry_space_group_name_H-M 'P 1'
_symmetry_Int_Tables_number 1
loop_
_symmetry_equiv_pos_as_xyz
'x,y,z'
loop_
_atom_site_label
_atom_site_type_symbol
_atom_site_fract_x
_atom_site_fract_y
_atom_site_fract_z
Ba1 Ba 0.3915 0.2847 0.7008
Ba2 Ba 0.8915 0.0681 0.2008
Ge1 Ge 0.3264 0.3728 0.2007
Ge2 Ge 0.5041 0.7863 0.9148
Ge3 Ge 0.0043 0.5666 0.4147
Ge4 Ge 0.8264 0.9799 0.7007
Ge5 Ge 0.0041 0.5665 0.9868
Ge6 Ge 0.5040 0.7863 0.4867
Rh1 Rh 0.1519 0.7574 0.7008
Rh2 Rh 0.6519 0.5953 0.2008
```

---

(2)
VASP calculation (PBE) on a geometry-optimized BaGeRh3 structure.

Output
DOS at the Fermi energy = 5.45 states/eV/cell
Relative energy among the computed polymorphs = 0 kJ/mol of formula units
Space-group type = No. 221

Structure (CIF):
```
data_BaGeRh3
_cell_length_a 4.7283
_cell_length_b 4.7283
_cell_length_c 4.7283
_cell_angle_alpha 90.00
_cell_angle_beta 90.00
_cell_angle_gamma 90.00
_symmetry_space_group_name_H-M 'P 1'
_symmetry_Int_Tables_number 1
loop_
_symmetry_equiv_pos_as_xyz
'x,y,z'
loop_
_atom_site_label
_atom_site_type_symbol
_atom_site_fract_x
_atom_site_fract_y
_atom_site_fract_z
Ge1 Ge 0.0000 0.0000 0.0000
Rh1 Rh 0.0000 0.5000 0.0000
Rh2 Rh 0.0000 0.0000 0.5000
Rh3 Rh 0.5000 0.0000 0.0000
Ba1 Ba 0.5000 0.5000 0.5000
```

---

ΔE_f across the listed records, respectively: -0.450 -0.089 eV/atom.